Material: Ni2IrW
Method: DFT, PBEsol
State: optimized geometry

POSCAR file:
```
Ni2IrW
1.0
2.6878 0.0000 0.0000
0.0000 3.6337 0.0000
0.0000 0.0000 5.1980
Ni Ir W
2 1 1
Direct
0.0000 0.0000 0.0000
0.5000 0.5000 0.2175
0.5000 0.5000 0.7363
0.0000 0.0000 0.4704
```

The energy of formation is -0.13 eV per atom. Its mass density is 16140 kg/m3. The total energy comes out at -0.3350 Ha/atom.

***

Material: Ni4IrW
Method: DFT, PBEsol
State: optimized geometry

POSCAR file:
```
Ni4IrW
1.0
0.0000 3.2585 3.2585
3.2585 0.0000 3.2585
3.2585 3.2585 0.0000
Ni Ir W
4 1 1
Direct
0.1250 0.1250 0.1250
0.1250 0.1250 0.6251
0.1250 0.6251 0.1250
0.6251 0.1250 0.1250
0.7500 0.7500 0.7500
0.5000 0.5000 0.5000
```

The energy of formation is -0.12 eV per atom. Its mass density is 14659 kg/m3. The total energy comes out at -0.2998 Ha/atom.